No. 1
PBE CsRbAg2Br5, relaxed; SG = P4/mmm, No. 123; formation energy without anion corrections = -0.974 eV per atom
1.0
5.3575 0.0000 0.0000
0.0000 5.3575 0.0000
0.0000 0.0000 11.1371
Cs Rb Ag Br
1 1 2 5
direct
0.0000 0.0000 0.0000
0.0000 0.0000 0.5000
0.5000 0.5000 0.2545
0.5000 0.5000 0.7455
0.0000 0.5000 0.2913
0.0000 0.5000 0.7087
0.5000 0.0000 0.2913
0.5000 0.0000 0.7087
0.5000 0.5000 0.0000

=====

No. 2
PBE Ti3SiAu, relaxed; energy above the most stable polymorph in this dataset = 60.6 kJ per mole of atoms; SG = Pm-3m, No. 221; formation energy without anion corrections = 0.784 eV per atom
1.0
4.8248 0.0000 0.0000
0.0000 4.8248 0.0000
0.0000 0.0000 4.8248
Ti Si Au
3 1 1
direct
0.0000 0.0000 0.5000
0.0000 0.5000 0.0000
0.5000 0.0000 0.0000
0.5000 0.5000 0.5000
0.0000 0.0000 0.0000

=====

No. 3
PBE CsCaHg2Pd, relaxed; ΔE_f = -0.2724 eV/atom; SG = P4/mmm, No. 123
1.0
5.5710 0.0000 0.0000
0.0000 5.5710 0.0000
0.0000 0.0000 5.3502
Cs Ca Hg Pd
1 1 2 1
direct
0.0000 0.0000 0.0000
0.5000 0.5000 0.0000
0.0000 0.5000 0.5000
0.5000 0.0000 0.5000
0.5000 0.5000 0.5000

=====

No. 4
PBE PuTcAgO6, relaxed; SG = P-31c, No. 163; formation energy without anion corrections = -1.630 eV per atom
1.0
5.4325 0.0000 0.0000
-2.7163 4.7047 0.0000
0.0000 0.0000 9.7861
Pu Tc Ag O
2 2 2 12
direct
0.3333 0.6667 0.2500
0.6667 0.3333 0.7500
0.3333 0.6667 0.7500
0.6667 0.3333 0.2500
0.0000 0.0000 0.0000
0.0000 0.0000 0.5000
0.0222 0.3766 0.6403
0.0222 0.6456 0.8597
0.3544 0.3766 0.8597
0.3544 0.9778 0.6403
0.3766 0.0222 0.1403
0.3766 0.3544 0.3597
0.6234 0.6456 0.6403
0.6234 0.9778 0.8597
0.6456 0.0222 0.3597
0.6456 0.6234 0.1403
0.9778 0.3544 0.1403
0.9778 0.6234 0.3597

=====

No. 5
PBE TbNdY5Sc2, relaxed; ΔE_f = 0.1676 eV/atom; SG = Cmc2_1, No. 36
1.0
2.8193 -10.7478 0.0000
2.8193 10.7478 0.0000
0.0000 0.0000 9.3994
Tb Nd Y Sc
2 2 10 4
direct
0.0972 0.9028 0.5000
0.9028 0.0972 0.0000
0.3157 0.6843 0.1015
0.6843 0.3157 0.6015
0.0310 0.9690 0.8301
0.1109 0.8891 0.1273
0.1930 0.8070 0.7981
0.2352 0.7648 0.4182
0.4911 0.5089 0.0983
0.5089 0.4911 0.5983
0.7648 0.2352 0.9182
0.8070 0.1930 0.2981
0.8891 0.1109 0.6273
0.9690 0.0310 0.3301
0.3634 0.6366 0.7832
0.3870 0.6130 0.4069
0.6130 0.3870 0.9069
0.6366 0.3634 0.2832

=====

No. 6
PBE K3CeHo2Se6, relaxed; SG = C2/m, No. 12; formation energy without anion corrections = -1.733 eV per atom
1.0
3.6916 -6.3948 0.0000
3.6916 6.3948 0.0000
-2.4627 0.0000 7.6762
K Ce Ho Se
3 1 2 6
direct
0.0000 0.0000 0.0000
0.3347 0.6653 0.0000
0.6653 0.3347 0.0000
0.5000 0.5000 0.5000
0.1668 0.8332 0.5000
0.8332 0.1668 0.5000
0.0885 0.4313 0.2941
0.2258 0.2258 0.7057
0.4313 0.0885 0.2941
0.5687 0.9115 0.7059
0.7742 0.7742 0.2943
0.9115 0.5687 0.7059

=====

No. 7
PBE Ho8AgOs2, relaxed; ΔE_f = -0.1719 eV/atom; SG = Cm, No. 8
1.0
4.3324 -6.3478 0.0000
4.3324 6.3478 0.0000
-1.4147 0.0000 5.3885
Ho Ag Os
8 1 2
direct
0.0000 0.0000 0.0000
0.0474 0.3122 0.6084
0.1379 0.6194 0.1989
0.3122 0.0474 0.6084
0.4453 0.7101 0.7894
0.6194 0.1379 0.1989
0.7101 0.4453 0.7894
0.7579 0.7579 0.3980
0.3790 0.3790 0.1963
0.0659 0.6918 0.6991
0.6918 0.0659 0.6991

=====

No. 8
PBE Ni2AgIr, relaxed; ΔE_f = 0.2338 eV/atom; energy above the most stable polymorph in this dataset = 9.6 kJ per mole of atoms; SG = P4mm, No. 99
1.0
2.6931 0.0000 0.0000
0.0000 2.6931 0.0000
0.0000 0.0000 7.4976
Ni Ag Ir
2 1 1
direct
0.0000 0.0000 0.0000
0.5000 0.5000 0.2102
0.0000 0.0000 0.4748
0.5000 0.5000 0.7718

=====

No. 9
PBE CaNbGa3, relaxed; ΔE_f = -0.0470 eV/atom; energy above the most stable polymorph in this dataset = 0.0 kJ per mole of atoms; SG = Pm-3m, No. 221
1.0
5.0199 0.0000 0.0000
0.0000 5.0199 0.0000
0.0000 0.0000 5.0199
Ca Nb Ga
1 1 3
direct
0.0000 0.0000 0.0000
0.5000 0.5000 0.5000
0.0000 0.5000 0.5000
0.5000 0.0000 0.5000
0.5000 0.5000 0.0000

=====

No. 10
PBE Hf3VBi, relaxed; ΔE_f = 1.6209 eV/atom; energy above the most stable polymorph in this dataset = 154.5 kJ per mole of atoms; SG = Pm-3m, No. 221
1.0
5.3135 0.0000 0.0000
0.0000 5.3135 0.0000
0.0000 0.0000 5.3135
Hf V Bi
3 1 1
direct
0.0000 0.0000 0.5000
0.0000 0.5000 0.0000
0.5000 0.0000 0.0000
0.5000 0.5000 0.5000
0.0000 0.0000 0.0000

=====

no.,E (eV per atom)
1,-2.74
2,-5.69
3,-2.00
4,-8.00
5,-5.87
6,-5.01
7,-5.80
8,-5.58
9,-4.28
10,-6.95